(1)
## SmCd3Ag (GGA-PBE)

Data for SmCd3Ag after structural relaxation.

The structure in POSCAR format:
```
SmCd3Ag
1.0
9.2753 0.0000 0.0000
0.0000 4.6251 0.0000
0.0000 0.0000 11.2268
Sm Cd Ag
4 12 4
direct
0.1981 0.2500 0.0016
0.3019 0.7500 0.5016
0.6981 0.2500 0.4984
0.8019 0.7500 0.9984
0.0678 0.2500 0.3934
0.0877 0.7500 0.1877
0.1349 0.7500 0.8057
0.3651 0.2500 0.3057
0.4123 0.2500 0.6877
0.4322 0.7500 0.8934
0.5678 0.2500 0.1066
0.5877 0.7500 0.3123
0.6349 0.7500 0.6943
0.8651 0.2500 0.1943
0.9123 0.2500 0.8123
0.9322 0.7500 0.6066
0.1233 0.2500 0.6381
0.3767 0.7500 0.1381
0.6233 0.2500 0.8619
0.8767 0.7500 0.3619
```

Calculated total energy: -2.253 eV per atom
Mass density: 8.21 g cm⁻³
ΔE_f: -0.189 eV per atom
DOS at the Fermi energy: 14.16 states/eV/cell
Energy above the most stable polymorph in this dataset: 27 meV/atom



(2)
## Rb2AcGeS4 (GGA-PBE)

Data for Rb2AcGeS4 after structural relaxation.

The structure in POSCAR format:
```
Rb2AcGeS4
1.0
-3.7889 3.7889 4.9628
3.7889 -3.7889 4.9628
3.7889 3.7889 -4.9628
Rb Ac Ge S
2 1 1 4
direct
0.0000 0.0000 0.0000
0.7500 0.2500 0.5000
0.5000 0.5000 0.0000
0.2500 0.7500 0.5000
0.1884 0.0822 0.5449
0.3566 0.8116 0.8938
0.5372 0.6434 0.4551
0.9178 0.4628 0.1062
```

Calculated total energy: -4.483 eV per atom
Mass density: 3.49 g cm⁻³
DOS at the Fermi energy: 4.33 states/eV/cell



(3)
## TcSe2I (GGA-PBE)

Data for TcSe2I after structural relaxation.

The structure in POSCAR format:
```
TcSe2I
1.0
1.5668 -15.9591 0.0000
1.5668 15.9591 0.0000
0.0000 0.0000 4.0817
Tc Se I
2 4 2
direct
0.1958 0.8042 0.7500
0.8042 0.1958 0.2500
0.2799 0.7201 0.7500
0.3635 0.6365 0.2500
0.6365 0.3635 0.7500
0.7201 0.2799 0.2500
0.4470 0.5530 0.7500
0.5530 0.4470 0.2500
```

Calculated total energy: -4.694 eV per atom
Mass density: 6.23 g cm⁻³
DOS at the Fermi energy: 6.13 states/eV/cell
Energy above the most stable polymorph in this dataset: 236 meV/atom



(4)
## CaSc2Cu (GGA-PBE)

Data for CaSc2Cu after structural relaxation.

The structure in POSCAR format:
```
CaSc2Cu
1.0
-2.1410 2.1410 5.1954
2.1410 -2.1410 5.1954
2.1410 2.1410 -5.1954
Ca Sc Cu
1 2 1
direct
0.0000 0.0000 0.0000
0.2500 0.7500 0.5000
0.7500 0.2500 0.5000
0.5000 0.5000 0.0000
```

Calculated total energy: -4.440 eV per atom
Mass density: 3.37 g cm⁻³
ΔE_f: 0.250 eV per atom
DOS at the Fermi energy: 6.47 states/eV/cell